Compound: CuNiAgAu
Source: Alexandria
Functional: PBE-GGA
Structure: relaxed

abc: 4.3598 4.3598 4.3598
angles: 60.00 60.00 60.00
Fractional coordinates of all 4 atoms:
Cu  0.0000  0.0000  0.0000
Ni  0.5000  0.5000  0.5000
Ag  0.7500  0.7500  0.7500
Au  0.2500  0.2500  0.2500

Output
space group = F-43m
energy relative to the elements = 0.11 eV/atom

Compound: CuNi2AgAu
Source: Alexandria
Functional: PBE-GGA
Structure: relaxed

abc: 4.6234 4.6234 4.6203
angles: 90.00 90.00 90.00
Fractional coordinates of all 5 atoms:
Cu  0.0000  0.0000  0.0000
Ni  0.0000  0.5000  0.5000
Ni  0.5000  0.0000  0.5000
Ag  0.0000  0.0000  0.5000
Au  0.5000  0.5000  0.0000

Output
space group = P4/mmm
energy relative to the elements = 1.29 eV/atom

Compound: CuAgAuO4
Source: Alexandria
Functional: PBE-GGA
Structure: relaxed

abc: 6.5720 6.5720 6.5720
angles: 128.15 120.66 82.67
Fractional coordinates of all 14 atoms:
Cu  0.5000  0.0000  0.0000
Cu  0.5000  0.5000  0.5000
Ag  0.0747  0.3247  0.7500
Ag  0.9253  0.6753  0.2500
Au  0.0000  0.0000  0.0000
Au  0.5000  0.0000  0.5000
O  0.2354  0.2125  0.4770
O  0.2354  0.7584  0.0230
O  0.2641  0.2092  0.0549
O  0.3456  0.7908  0.5549
O  0.6544  0.2092  0.4451
O  0.7359  0.7908  0.9451
O  0.7646  0.2416  0.9770
O  0.7646  0.7875  0.5230

Output
energy relative to the elements, uncorrected = -109 meV/atom
space group = Imma

Compound: CuAgPdAu
Source: Alexandria
Functional: PBE-GGA
Structure: relaxed

abc: 2.8812 2.8812 7.6324
angles: 90.00 90.00 90.00
Fractional coordinates of all 4 atoms:
Cu  0.0000  0.0000  0.0000
Ag  0.0000  0.0000  0.4825
Pd  0.5000  0.5000  0.2173
Au  0.5000  0.5000  0.7656

Output
space group = P4mm
energy relative to the elements = -0.07 eV/atom

Compound: Cu2Ag2Pd4Au
Source: Alexandria
Functional: PBE-GGA
Structure: relaxed

abc: 4.9155 5.4171 6.6426
angles: 103.32 100.03 116.33
Fractional coordinates of all 9 atoms:
Cu  0.2129  0.3802  0.4091
Cu  0.7871  0.6198  0.5909
Ag  0.4803  0.3178  0.8112
Ag  0.5197  0.6822  0.1888
Pd  0.1708  0.8729  0.3899
Pd  0.3581  0.7648  0.7858
Pd  0.6419  0.2352  0.2142
Pd  0.8292  0.1271  0.6101
Au  0.0000  0.0000  0.0000

Output
space group = P-1
energy relative to the elements = 0.03 eV/atom

Compound: Cu2AgPdAu
Source: Alexandria
Functional: PBE-GGA
Structure: relaxed

abc: 4.9061 4.9061 8.4615
angles: 93.55 93.55 48.30
Fractional coordinates of all 10 atoms:
Cu  0.1430  0.1430  0.0475
Cu  0.3501  0.3501  0.4482
Cu  0.6499  0.6499  0.5518
Cu  0.8570  0.8570  0.9525
Ag  0.0519  0.0519  0.3513
Ag  0.9481  0.9481  0.6487
Pd  0.4368  0.4368  0.1422
Pd  0.5632  0.5632  0.8578
Au  0.2552  0.2552  0.7531
Au  0.7448  0.7448  0.2469

Output
space group = C2/m
energy relative to the elements = -0.03 eV/atom

What is the formula in the second record?
CuNi2AgAu